(1)
{
  "formula": "LiZr4Ni",
  "functional": "PBE",
  "state": "relaxed",
  "sg": "F-43m",
  "total_magnetization_mub_per_cell": 0.00,
  "e_tot_ev_per_atom": -6.36,
  "e_form_ev_per_fu": 3.74,
  "lattice_angstrom": [[0.000, 4.032, 4.032], [4.032, 0.000, 4.032], [4.032, 4.032, 0.000]],
  "species": ["Li", "Zr", "Zr", "Zr", "Zr", "Ni"],
  "frac_coords": [[0.750, 0.750, 0.750], [0.878, 0.374, 0.374], [0.374, 0.374, 0.878], [0.374, 0.878, 0.374], [0.374, 0.374, 0.374], [0.000, 0.000, 0.000]]
}

=====

(2)
{
  "formula": "LiZrNi",
  "functional": "PBE",
  "state": "relaxed",
  "sg": "Cmcm",
  "total_magnetization_mub_per_cell": 0.00,
  "e_tot_ev_per_atom": -5.60,
  "e_form_ev_per_fu": -0.54,
  "de_polymorph_mev_per_atom": 0,
  "lattice_angstrom": [[-2.421, -0.370, -3.547], [-5.405, -5.798, 4.293], [-2.785, 3.717, 1.513]],
  "species": ["Li", "Li", "Li", "Li", "Zr", "Zr", "Zr", "Zr", "Ni", "Ni", "Ni", "Ni"],
  "frac_coords": [[0.000, 0.000, 0.000], [0.000, 0.000, 0.500], [0.500, 0.500, 0.000], [0.500, 0.500, 0.500], [0.000, 0.703, 0.250], [0.000, 0.297, 0.750], [0.500, 0.203, 0.250], [0.500, 0.797, 0.750], [0.000, 0.398, 0.250], [0.000, 0.602, 0.750], [0.500, 0.898, 0.250], [0.500, 0.102, 0.750]]
}